Record 1
First-principles (GGA-PBE) data for NaMnAgTe2 after structural relaxation, as listed in Alexandria via LeMat-Bulk.

Results
Formation energy without anion corrections, eV per atom: -0.2743
Density of states at the Fermi level, states/eV per cell: 3.67
Crystal system: orthorhombic

a = 5.891 Å, b = 14.875 Å, c = 7.050 Å
α = 90.00°, β = 90.00°, γ = 90.00°
Space group Cmme (No. 67)
Unique sites:
Na1 0.000 0.250 0.197 (multiplicity 4)
Mn1 0.250 0.000 0.000 (multiplicity 4)
Ag1 0.000 0.000 0.500 (multiplicity 4)
Te1 0.000 0.120 0.784 (multiplicity 8)

Record 2
First-principles (GGA-PBE) data for Mn2Nb2Ag after structural relaxation, as listed in Alexandria via LeMat-Bulk.

Results
Total energy, eV per formula unit: -40.2
Density of states at the Fermi level, states/eV per cell: 10.17
Crystal system: tetragonal

a = 7.090 Å, b = 7.090 Å, c = 3.135 Å
α = 90.00°, β = 90.00°, γ = 90.00°
Space group P4/mbm (No. 127)
Unique sites:
Mn1 0.131 0.369 0.000 (multiplicity 4)
Nb1 0.165 0.665 0.500 (multiplicity 4)
Ag1 0.000 0.000 0.000 (multiplicity 2)

Record 3
First-principles (GGA-PBE) data for Mn2NbAg after structural relaxation, as listed in Alexandria via LeMat-Bulk.

Results
Total energy, eV per formula unit: -28.5
Density of states at the Fermi level, states/eV per cell: 12.02
Crystal system: tetragonal

a = 6.948 Å, b = 6.948 Å, c = 5.565 Å
α = 90.00°, β = 90.00°, γ = 90.00°
Space group I-42d (No. 122)
Unique sites:
Mn1 0.241 0.750 0.125 (multiplicity 8)
Nb1 0.000 0.000 0.000 (multiplicity 4)
Ag1 0.000 0.000 0.500 (multiplicity 4)

Record 4
First-principles (GGA-PBE) data for MnNbAg3 after structural relaxation, as listed in Alexandria via LeMat-Bulk.

Results
Total energy, eV per formula unit: -19.7
Density of states at the Fermi level, states/eV per cell: 5.12
Crystal system: cubic

a = 5.121 Å, b = 5.121 Å, c = 5.121 Å
α = 90.00°, β = 90.00°, γ = 90.00°
Space group Pm-3m (No. 221)
Unique sites:
Mn1 0.000 0.000 0.000 (multiplicity 1)
Nb1 0.500 0.500 0.500 (multiplicity 1)
Ag1 0.000 0.500 0.500 (multiplicity 3)

Record 5
First-principles (GGA-PBE) data for MnNbAg3 after structural relaxation, as listed in Alexandria via LeMat-Bulk.

Results
Total energy, eV per formula unit: -19.6
Density of states at the Fermi level, states/eV per cell: 9.75
Crystal system: cubic

a = 4.677 Å, b = 4.677 Å, c = 4.677 Å
α = 90.00°, β = 90.00°, γ = 90.00°
Space group Pm-3m (No. 221)
Unique sites:
Mn1 0.000 0.000 0.000 (multiplicity 1)
Nb1 0.500 0.500 0.500 (multiplicity 1)
Ag1 0.000 0.000 0.500 (multiplicity 3)

Record 6
First-principles (GGA-PBE) data for MnNb3Ag after structural relaxation, as listed in Alexandria via LeMat-Bulk.

Results
Total energy, eV per formula unit: -38.5
Density of states at the Fermi level, states/eV per cell: 4.18
Crystal system: cubic

a = 4.604 Å, b = 4.604 Å, c = 4.604 Å
α = 90.00°, β = 90.00°, γ = 90.00°
Space group Pm-3m (No. 221)
Unique sites:
Mn1 0.000 0.000 0.000 (multiplicity 1)
Nb1 0.000 0.000 0.500 (multiplicity 3)
Ag1 0.500 0.500 0.500 (multiplicity 1)

Record 7
First-principles (GGA-PBE) data for Mn2NbAg after structural relaxation, as listed in Alexandria via LeMat-Bulk.

Results
Total energy, eV per formula unit: -30.3
Density of states at the Fermi level, states/eV per cell: 14.92
Crystal system: cubic

a = 6.296 Å, b = 6.296 Å, c = 6.296 Å
α = 90.00°, β = 90.00°, γ = 90.00°
Space group Fm-3m (No. 225)
Unique sites:
Mn1 0.250 0.250 0.250 (multiplicity 8)
Nb1 0.000 0.000 0.000 (multiplicity 4)
Ag1 0.000 0.000 0.500 (multiplicity 4)